This record from the Alexandria database describes a geometry-optimized NaVCrF6 structure. The functional is PBE with a Hubbard U.

Cell lengths 5.4190, 5.4190, 9.6946 Å; angles 90.00, 90.00, 120.00 degrees
Fractional coordinates of all 18 atoms:
Na 0.0000 0.0000 0.0000
Na 0.0000 0.0000 0.5000
V 0.3333 0.6667 0.2500
V 0.6667 0.3333 0.7500
Cr 0.3333 0.6667 0.7500
Cr 0.6667 0.3333 0.2500
F 0.0226 0.3691 0.6408
F 0.0226 0.6535 0.8592
F 0.3465 0.3691 0.8592
F 0.3465 0.9774 0.6408
F 0.3691 0.0226 0.1408
F 0.3691 0.3465 0.3592
F 0.6309 0.6535 0.6408
F 0.6309 0.9774 0.8592
F 0.6535 0.0226 0.3592
F 0.6535 0.6309 0.1408
F 0.9774 0.3465 0.1408
F 0.9774 0.6309 0.3592

## Properties
DFT total energy: -5.808 eV per atom
total moment: 12.0 μB/cell
space group: No. 163

This record from the Alexandria database describes a geometry-optimized NaVCr2F6 structure. The functional is PBE with a Hubbard U.

Cell lengths 5.6466, 5.7500, 5.9406 Å; angles 90.76, 116.66, 119.27 degrees
Fractional coordinates of all 10 atoms:
Na 0.0000 0.0000 0.0000
V 0.9951 0.4987 0.4802
Cr 0.5904 0.7995 0.3794
Cr 0.5998 0.3088 0.8863
F 0.0427 0.3882 0.1625
F 0.1680 0.2649 0.6963
F 0.4672 0.8668 0.6609
F 0.5146 0.1511 0.1757
F 0.8183 0.5639 0.7096
F 0.8323 0.7217 0.2360

## Properties
DFT total energy: -5.830 eV per atom
N(E_F): 0.0093 states/eV per atom
total moment: 12.0 μB/cell
space group: No. 1

> What is the DFT total energy in the second record?

-5.830 eV per atom

> The lowest DFT total energy belongs to which entry?

NaVCr2F6